FeRhS2Cl: relaxed, PBE-GGA.

Cell lengths 4.3176, 4.3176, 4.6184 Å; angles 90.00, 90.00, 90.00 degrees
Sites, in units of the cell vectors:
S (0.0000, 0.5000, 0.0000)
S (0.5000, 0.0000, 0.0000)
Fe (0.0000, 0.0000, 0.0000)
Rh (0.5000, 0.5000, 0.5000)
Cl (0.0000, 0.0000, 0.5000)

Results
SG = No. 123
Excess energy over the best structure of this formula in the dataset = 67 meV/atom

FeRhS2Cl: relaxed, PBE-GGA.

Cell lengths 4.6472, 4.6472, 4.6989 Å; angles 90.00, 90.00, 90.00 degrees
Sites, in units of the cell vectors:
Cl (0.0000, 0.0000, 0.5000)
Rh (0.0000, 0.0000, 0.0000)
S (0.0000, 0.5000, 0.0000)
S (0.5000, 0.0000, 0.0000)
Fe (0.5000, 0.5000, 0.5000)

Results
SG = No. 123
Excess energy over the best structure of this formula in the dataset = 0 meV/atom

FeRhSCl2: relaxed, PBE-GGA.

Cell lengths 4.6165, 4.6165, 4.2530 Å; angles 90.00, 90.00, 90.00 degrees
Sites, in units of the cell vectors:
Cl (0.0000, 0.5000, 0.0000)
Cl (0.5000, 0.0000, 0.0000)
S (0.0000, 0.0000, 0.5000)
Rh (0.5000, 0.5000, 0.5000)
Fe (0.0000, 0.0000, 0.0000)

Results
SG = No. 123
Excess energy over the best structure of this formula in the dataset = 172 meV/atom

TiFe2RhCl: relaxed, PBE-GGA.

Cell lengths 4.1292, 4.4455, 4.1292 Å; angles 90.00, 90.00, 90.00 degrees
Sites, in units of the cell vectors:
Cl (0.0000, 0.0000, 0.0000)
Fe (0.5000, 0.0000, 0.0000)
Fe (0.0000, 0.0000, 0.5000)
Rh (0.0000, 0.5000, 0.0000)
Ti (0.5000, 0.5000, 0.5000)

Results
SG = No. 123

no.,ΔE_f (raw) (kJ per mole of atoms)
1,60.51
2,54.09
3,55.20
4,56.86